{"formula": "YMn2GaP", "functional": "GGA-PBE", "state": "relaxed", "delta_e_f_ev_per_fu": 2.2, "m_tot_mub_per_fu": 6.6, "dos_at_fermi_per_ev_cell": 6.96, "spacegroup": "P4/mmm", "lattice_angstrom": [[4.462, 0.000, 0.000], [0.000, 5.028, 0.000], [0.000, 0.000, 4.462]], "species": ["Mn", "Mn", "Ga", "P", "Y"], "fractional_positions": [[0.000, 0.000, 0.500], [0.500, 0.000, 0.000], [0.000, 0.000, 0.000], [0.000, 0.500, 0.000], [0.500, 0.500, 0.500]]}